Entry 1:
# ZnCo PBE optimized geometry
data_ZnCo
_chemical_formula_sum 'Zn4 Co4'
_cell_length_a 9.469
_cell_length_b 2.612
_cell_length_c 4.420
_cell_angle_alpha 90.00
_cell_angle_beta 116.50
_cell_angle_gamma 90.00
_symmetry_space_group_name_H-M 'C 1 2/m 1'
_symmetry_Int_Tables_number 12
loop_
_symmetry_equiv_pos_as_xyz
'x,y,z'
'-x,-y,-z'
'-x,y,-z'
'x,-y,z'
'x+1/2,y+1/2,z'
'-x+1/2,-y+1/2,-z'
'-x+1/2,y+1/2,-z'
'x+1/2,-y+1/2,z'
loop_
_atom_site_label
_atom_site_fract_x
_atom_site_fract_y
_atom_site_fract_z
_atom_site_occupancy
Zn1 0.119 0.000 0.301 1
Co1 0.134 0.500 0.810 1
# N(E_F)   9.1 states/eV/cell
# DFT formation energy   0.680 kcal/mol of atoms
# Uncorrected energy   -0.1529 hartree per atom
# Volume   12.23 Å³ per atom

Entry 2:
# ZnCo PBE optimized geometry
data_ZnCo
_chemical_formula_sum 'Zn4 Co4'
_cell_length_a 3.730
_cell_length_b 3.730
_cell_length_c 7.022
_cell_angle_alpha 90.00
_cell_angle_beta 90.00
_cell_angle_gamma 90.00
_symmetry_space_group_name_H-M 'I 41/a m d'
_symmetry_Int_Tables_number 141
loop_
_symmetry_equiv_pos_as_xyz
'x,y,z'
'-x,-y,-z'
'-y+1/4,x+3/4,z+1/4'
'y+1/4,-x+3/4,-z+1/4'
'-x+1/2,-y,z+1/2'
'x+1/2,y,-z+1/2'
'y+1/4,-x+1/4,z+3/4'
'-y+1/4,x+1/4,-z+3/4'
'x,-y,-z'
'-x,y,z'
'-y+1/4,-x+1/4,-z+3/4'
'y+1/4,x+1/4,z+3/4'
'-x+1/2,y,-z+1/2'
'x+1/2,-y,z+1/2'
'y+1/4,x+3/4,-z+1/4'
'-y+1/4,-x+3/4,z+1/4'
'x+1/2,y+1/2,z+1/2'
'-x+1/2,-y+1/2,-z+1/2'
'-y+3/4,x+1/4,z+3/4'
'y+3/4,-x+1/4,-z+3/4'
'-x,-y+1/2,z'
'x,y+1/2,-z'
'y+3/4,-x+3/4,z+1/4'
'-y+3/4,x+3/4,-z+1/4'
'x+1/2,-y+1/2,-z+1/2'
'-x+1/2,y+1/2,z+1/2'
'-y+3/4,-x+3/4,-z+1/4'
'y+3/4,x+3/4,z+1/4'
'-x,y+1/2,-z'
'x,-y+1/2,z'
'y+3/4,x+1/4,-z+3/4'
'-y+3/4,-x+1/4,z+3/4'
loop_
_atom_site_label
_atom_site_fract_x
_atom_site_fract_y
_atom_site_fract_z
_atom_site_occupancy
Zn1 0.000 0.250 0.375 1
Co1 0.000 0.250 0.875 1
# N(E_F)   8.3 states/eV/cell
# DFT formation energy   0.834 kcal/mol of atoms
# Uncorrected energy   -0.1526 hartree per atom
# Volume   12.21 Å³ per atom

Entry 3:
# Zn5Co4 PBE optimized geometry
data_Zn5Co4
_chemical_formula_sum 'Zn10 Co8'
_cell_length_a 7.735
_cell_length_b 7.735
_cell_length_c 3.740
_cell_angle_alpha 90.00
_cell_angle_beta 90.00
_cell_angle_gamma 90.00
_symmetry_space_group_name_H-M 'I 4/m m m'
_symmetry_Int_Tables_number 139
_symmetry_space_group_name_Hall '-I 4 2'
loop_
_atom_site_label
_atom_site_fract_x
_atom_site_fract_y
_atom_site_fract_z
_atom_site_occupancy
Zn1 0.000 0.000 0.000 1
Zn2 0.171 0.171 0.500 1
Co1 0.000 0.345 0.000 1
# N(E_F)   15.5 states/eV/cell
# DFT formation energy   0.048 kcal/mol of atoms
# Relative energy among the computed polymorphs   0 meV per atom
# Uncorrected energy   -0.1420 hartree per atom
# Volume   12.43 Å³ per atom

Entry 4:
# Zn3Co PBE optimized geometry
data_Zn3Co
_chemical_formula_sum 'Zn3 Co1'
_cell_length_a 2.874
_cell_length_b 2.874
_cell_length_c 6.458
_cell_angle_alpha 90.00
_cell_angle_beta 90.00
_cell_angle_gamma 90.00
_symmetry_space_group_name_H-M 'P 4/m m m'
_symmetry_Int_Tables_number 123
_symmetry_space_group_name_Hall '-P 4 2'
loop_
_atom_site_label
_atom_site_fract_x
_atom_site_fract_y
_atom_site_fract_z
_atom_site_occupancy
Zn1 0.000 0.000 0.000 1
Zn2 0.500 0.500 0.276 1
Co1 0.000 0.000 0.500 1
# N(E_F)   2.9 states/eV/cell
# DFT formation energy   0.336 kcal/mol of atoms
# Uncorrected energy   -0.0999 hartree per atom
# Volume   13.33 Å³ per atom

Entry 5:
# ZnCo2 PBE optimized geometry
data_ZnCo2
_chemical_formula_sum 'Zn2 Co4'
_cell_length_a 2.615
_cell_length_b 3.425
_cell_length_c 7.866
_cell_angle_alpha 90.00
_cell_angle_beta 90.00
_cell_angle_gamma 90.00
_symmetry_space_group_name_H-M 'I m m m'
_symmetry_Int_Tables_number 71
_symmetry_space_group_name_Hall '-I 2 2'
loop_
_atom_site_label
_atom_site_fract_x
_atom_site_fract_y
_atom_site_fract_z
_atom_site_occupancy
Zn1 0.000 0.000 0.000 1
Co1 0.000 0.000 0.325 1
# N(E_F)   4.6 states/eV/cell
# DFT formation energy   0.207 kcal/mol of atoms
# Uncorrected energy   -0.1894 hartree per atom
# Volume   11.74 Å³ per atom

Entry 6:
# ZnCo2 PBE optimized geometry
data_ZnCo2
_chemical_formula_sum 'Zn4 Co8'
_cell_length_a 9.347
_cell_length_b 2.604
_cell_length_c 6.029
_cell_angle_alpha 90.00
_cell_angle_beta 105.96
_cell_angle_gamma 90.00
_symmetry_space_group_name_H-M 'C 1 m 1'
_symmetry_Int_Tables_number 8
loop_
_symmetry_equiv_pos_as_xyz
'x,y,z'
'x,-y,z'
'x+1/2,y+1/2,z'
'x+1/2,-y+1/2,z'
loop_
_atom_site_label
_atom_site_fract_x
_atom_site_fract_y
_atom_site_fract_z
_atom_site_occupancy
Zn1 0.000 0.000 0.000 1
Zn2 0.170 0.500 0.349 1
Co1 0.130 0.500 0.745 1
Co2 0.287 0.000 0.077 1
Co3 0.338 0.000 0.674 1
Co4 0.450 0.500 0.421 1
# N(E_F)   13.8 states/eV/cell
# DFT formation energy   1.212 kcal/mol of atoms
# Uncorrected energy   -0.1878 hartree per atom
# Volume   11.76 Å³ per atom

Entry 7:
# ZnCo PBE optimized geometry
data_ZnCo
_chemical_formula_sum 'Zn4 Co4'
_cell_length_a 4.441
_cell_length_b 4.204
_cell_length_c 5.246
_cell_angle_alpha 90.00
_cell_angle_beta 90.00
_cell_angle_gamma 90.00
_symmetry_space_group_name_H-M 'P n m a'
_symmetry_Int_Tables_number 62
loop_
_symmetry_equiv_pos_as_xyz
'x,y,z'
'-x,-y,-z'
'-x+1/2,-y,z+1/2'
'x+1/2,y,-z+1/2'
'x+1/2,-y+1/2,-z+1/2'
'-x+1/2,y+1/2,z+1/2'
'-x,y+1/2,-z'
'x,-y+1/2,z'
loop_
_atom_site_label
_atom_site_fract_x
_atom_site_fract_y
_atom_site_fract_z
_atom_site_occupancy
Zn1 0.082 0.250 0.125 1
Co1 0.064 0.250 0.624 1
# N(E_F)   7.9 states/eV/cell
# DFT formation energy   0.510 kcal/mol of atoms
# Uncorrected energy   -0.1532 hartree per atom
# Volume   12.24 Å³ per atom

Entry 8:
# ZnCo3 PBE optimized geometry
data_ZnCo3
_chemical_formula_sum 'Zn3 Co9'
_cell_length_a 8.0477
_cell_length_b 8.0477
_cell_length_c 2.4907
_cell_angle_alpha 90.00
_cell_angle_beta 90.00
_cell_angle_gamma 120.00
_symmetry_space_group_name_H-M 'R -3 m'
_symmetry_Int_Tables_number 166
_symmetry_space_group_name_Hall '-R 3 2"'
loop_
_atom_site_label
_atom_site_fract_x
_atom_site_fract_y
_atom_site_fract_z
_atom_site_occupancy
Zn1 0.0000 0.0000 0.0000 1
Co1 0.0000 0.5000 0.0000 1
# N(E_F)   15.1 states/eV/cell
# DFT formation energy   2.145 kcal/mol of atoms
# Uncorrected energy   -0.2041 hartree per atom
# Volume   11.64 Å³ per atom

Entry 9:
# ZnCo PBE optimized geometry
data_ZnCo
_chemical_formula_sum 'Zn6 Co6'
_cell_length_a 2.644
_cell_length_b 12.840
_cell_length_c 4.347
_cell_angle_alpha 90.00
_cell_angle_beta 90.00
_cell_angle_gamma 90.00
_symmetry_space_group_name_H-M 'A m m 2'
_symmetry_Int_Tables_number 38
loop_
_symmetry_equiv_pos_as_xyz
'x,y,z'
'-x,-y,z'
'-x,y,z'
'x,-y,z'
'x,y+1/2,z+1/2'
'-x,-y+1/2,z+1/2'
'-x,y+1/2,z+1/2'
'x,-y+1/2,z+1/2'
loop_
_atom_site_label
_atom_site_fract_x
_atom_site_fract_y
_atom_site_fract_z
_atom_site_occupancy
Zn1 0.000 0.000 0.000 1
Zn2 0.500 0.176 0.134 1
Co1 0.000 0.154 0.628 1
Co2 0.500 0.000 0.500 1
# N(E_F)   11.0 states/eV/cell
# DFT formation energy   0.846 kcal/mol of atoms
# Uncorrected energy   -0.1526 hartree per atom
# Volume   12.30 Å³ per atom

Entry 10:
# ZnCo5 PBE optimized geometry
data_ZnCo5
_chemical_formula_sum 'Zn4 Co20'
_cell_length_a 6.601
_cell_length_b 6.601
_cell_length_c 6.601
_cell_angle_alpha 90.00
_cell_angle_beta 90.00
_cell_angle_gamma 90.00
_symmetry_space_group_name_H-M 'F -4 3 m'
_symmetry_Int_Tables_number 216
_symmetry_space_group_name_Hall 'F -4 2 3'
loop_
_atom_site_label
_atom_site_fract_x
_atom_site_fract_y
_atom_site_fract_z
_atom_site_occupancy
Zn1 0.000 0.000 0.000 1
Co1 0.125 0.125 0.625 1
Co2 0.250 0.250 0.250 1
# N(E_F)   25.3 states/eV/cell
# DFT formation energy   3.972 kcal/mol of atoms
# Uncorrected energy   -0.2191 hartree per atom
# Volume   11.99 Å³ per atom

Entry 11:
# Zn5Co3 PBE optimized geometry
data_Zn5Co3
_chemical_formula_sum 'Zn20 Co12'
_cell_length_a 12.411
_cell_length_b 7.149
_cell_length_c 4.743
_cell_angle_alpha 90.00
_cell_angle_beta 90.00
_cell_angle_gamma 90.00
_symmetry_space_group_name_H-M 'C m c m'
_symmetry_Int_Tables_number 63
_symmetry_space_group_name_Hall '-C 2c 2'
loop_
_atom_site_label
_atom_site_fract_x
_atom_site_fract_y
_atom_site_fract_z
_atom_site_occupancy
Zn1 0.000 0.242 0.250 1
Zn2 0.121 0.121 0.750 1
Zn3 0.166 0.500 0.000 1
Co1 0.000 0.399 0.750 1
Co2 0.200 0.199 0.250 1
# N(E_F)   29.1 states/eV/cell
# DFT formation energy   2.513 kcal/mol of atoms
# Relative energy among the computed polymorphs   114 meV per atom
# Uncorrected energy   -0.1232 hartree per atom
# Volume   13.15 Å³ per atom

Entry 12:
# ZnCo2 PBE optimized geometry
data_ZnCo2
_chemical_formula_sum 'Zn3 Co6'
_cell_length_a 6.9559
_cell_length_b 6.9559
_cell_length_c 2.5343
_cell_angle_alpha 90.00
_cell_angle_beta 90.00
_cell_angle_gamma 120.00
_symmetry_space_group_name_H-M 'P -6 2 m'
_symmetry_Int_Tables_number 189
_symmetry_space_group_name_Hall 'P -6 -2'
loop_
_atom_site_label
_atom_site_fract_x
_atom_site_fract_y
_atom_site_fract_z
_atom_site_occupancy
Zn1 0.0000 0.0000 0.0000 1
Zn2 0.3333 0.6667 0.5000 1
Co1 0.0000 0.3088 0.5000 1
Co2 0.0000 0.6421 0.0000 1
# N(E_F)   8.8 states/eV/cell
# DFT formation energy   1.945 kcal/mol of atoms
# Uncorrected energy   -0.1866 hartree per atom
# Volume   11.80 Å³ per atom

> The highest N(E_F) belongs to which entry?

Zn5Co3

> volume of number 6 (ZnCo2)?

11.76 Å³ per atom